1.
# HfHI2N (GGA-PBE, optimized geometry)
# Density of states at the Fermi level   0.969 states/eV/atom
# Offset from the most stable computed form   0.000 eV per atom
data_HfHI2N
_space_group_name_H-M_alt 'P 1'
_space_group_IT_number 1
_space_group_name_Hall 'P 1'
_cell_length_a 5.868
_cell_length_b 5.868
_cell_length_c 4.009
_cell_angle_alpha 90.00
_cell_angle_beta 90.00
_cell_angle_gamma 90.00
loop_
_atom_site_label
_atom_site_fract_x
_atom_site_fract_y
_atom_site_fract_z
_atom_site_occupancy
Hf1 0.000 0.000 0.000 1
H1 0.500 0.500 0.500 1
I1 0.000 0.500 0.000 1
I2 0.500 0.000 0.000 1
N1 0.000 0.000 0.500 1

2.
# ErPuPd14 (GGA-PBE, optimized geometry)
# Formation energy   -0.36 eV/atom
# Density of states at the Fermi level   1.794 states/eV/atom
data_ErPuPd14
_space_group_name_H-M_alt 'P 1'
_space_group_IT_number 1
_space_group_name_Hall 'P 1'
_cell_length_a 5.782
_cell_length_b 5.782
_cell_length_c 7.883
_cell_angle_alpha 90.00
_cell_angle_beta 90.00
_cell_angle_gamma 90.00
loop_
_atom_site_label
_atom_site_fract_x
_atom_site_fract_y
_atom_site_fract_z
_atom_site_occupancy
Er1 0.000 0.000 0.000 1
Pu1 0.500 0.500 0.000 1
Pd1 0.000 0.000 0.500 1
Pd2 0.000 0.500 0.000 1
Pd3 0.000 0.500 0.500 1
Pd4 0.250 0.250 0.256 1
Pd5 0.250 0.250 0.744 1
Pd6 0.250 0.750 0.256 1
Pd7 0.250 0.750 0.744 1
Pd8 0.500 0.000 0.000 1
Pd9 0.500 0.000 0.500 1
Pd10 0.500 0.500 0.500 1
Pd11 0.750 0.250 0.256 1
Pd12 0.750 0.250 0.744 1
Pd13 0.750 0.750 0.256 1
Pd14 0.750 0.750 0.744 1

3.
# AcSmNp2O8 (GGA-PBE, optimized geometry)
# E_form (uncorrected)   -3.15 eV/atom
# Density of states at the Fermi level   1.160 states/eV/atom
data_AcSmNp2O8
_space_group_name_H-M_alt 'P 1'
_space_group_IT_number 1
_space_group_name_Hall 'P 1'
_cell_length_a 6.690
_cell_length_b 6.690
_cell_length_c 6.690
_cell_angle_alpha 131.02
_cell_angle_beta 131.02
_cell_angle_gamma 71.79
loop_
_atom_site_label
_atom_site_fract_x
_atom_site_fract_y
_atom_site_fract_z
_atom_site_occupancy
Ac1 0.000 0.000 0.000 1
Sm1 0.250 0.750 0.500 1
Np1 0.500 0.500 0.000 1
Np2 0.750 0.250 0.500 1
O1 0.129 0.148 0.533 1
O2 0.129 0.596 0.981 1
O3 0.404 0.384 0.533 1
O4 0.404 0.871 0.019 1
O5 0.616 0.148 0.019 1
O6 0.616 0.596 0.467 1
O7 0.852 0.384 0.981 1
O8 0.852 0.871 0.467 1

4.
# CsNaLa3 (GGA-PBE, optimized geometry)
# Formation energy   0.90 eV/atom
# Density of states at the Fermi level   1.557 states/eV/atom
# Offset from the most stable computed form   0.117 eV per atom
data_CsNaLa3
_space_group_name_H-M_alt 'P 1'
_space_group_IT_number 1
_space_group_name_Hall 'P 1'
_cell_length_a 6.053
_cell_length_b 6.053
_cell_length_c 6.053
_cell_angle_alpha 90.00
_cell_angle_beta 90.00
_cell_angle_gamma 90.00
loop_
_atom_site_label
_atom_site_fract_x
_atom_site_fract_y
_atom_site_fract_z
_atom_site_occupancy
Cs1 0.000 0.000 0.000 1
Na1 0.500 0.500 0.500 1
La1 0.000 0.000 0.500 1
La2 0.000 0.500 0.000 1
La3 0.500 0.000 0.000 1

5.
# Sr3PbN (GGA-PBE, optimized geometry)
# E_form (uncorrected)   -0.52 eV/atom
# Density of states at the Fermi level   0.326 states/eV/atom
data_Sr3PbN
_space_group_name_H-M_alt 'P 1'
_space_group_IT_number 1
_space_group_name_Hall 'P 1'
_cell_length_a 5.850
_cell_length_b 7.000
_cell_length_c 8.763
_cell_angle_alpha 107.76
_cell_angle_beta 90.04
_cell_angle_gamma 114.55
loop_
_atom_site_label
_atom_site_fract_x
_atom_site_fract_y
_atom_site_fract_z
_atom_site_occupancy
Sr1 0.000 0.000 0.000 1
Sr2 0.069 0.143 0.463 1
Sr3 0.241 0.479 0.851 1
Sr4 0.322 0.622 0.315 1
Sr5 0.526 0.008 0.738 1
Sr6 0.832 0.614 0.576 1
Pb1 0.543 0.092 0.210 1
Pb2 0.775 0.530 0.105 1
N1 0.261 0.586 0.595 1
N2 0.986 0.036 0.719 1

6.
# Pa2BeSi (GGA-PBE, optimized geometry)
# E_form (uncorrected)   0.60 eV/atom
# Density of states at the Fermi level   1.653 states/eV/atom
data_Pa2BeSi
_space_group_name_H-M_alt 'P 1'
_space_group_IT_number 1
_space_group_name_Hall 'P 1'
_cell_length_a 10.820
_cell_length_b 10.820
_cell_length_c 10.820
_cell_angle_alpha 16.03
_cell_angle_beta 16.03
_cell_angle_gamma 16.03
loop_
_atom_site_label
_atom_site_fract_x
_atom_site_fract_y
_atom_site_fract_z
_atom_site_occupancy
Pa1 0.091 0.091 0.091 1
Pa2 0.909 0.909 0.909 1
Be1 0.000 0.000 0.000 1
Si1 0.500 0.500 0.500 1

7.
# K3Ac3TaS8 (GGA-PBE, optimized geometry)
# E_form (uncorrected)   -1.64 eV/atom
# Density of states at the Fermi level   0.310 states/eV/atom
data_K3Ac3TaS8
_space_group_name_H-M_alt 'P 1'
_space_group_IT_number 1
_space_group_name_Hall 'P 1'
_cell_length_a 8.991
_cell_length_b 8.991
_cell_length_c 8.991
_cell_angle_alpha 56.24
_cell_angle_beta 56.24
_cell_angle_gamma 56.24
loop_
_atom_site_label
_atom_site_fract_x
_atom_site_fract_y
_atom_site_fract_z
_atom_site_occupancy
K1 0.000 0.500 0.500 1
K2 0.500 0.000 0.500 1
K3 0.500 0.500 0.000 1
Ac1 0.000 0.000 0.500 1
Ac2 0.000 0.500 0.000 1
Ac3 0.500 0.000 0.000 1
Ta1 0.500 0.500 0.500 1
S1 0.241 0.241 0.241 1
S2 0.277 0.707 0.707 1
S3 0.293 0.293 0.723 1
S4 0.293 0.723 0.293 1
S5 0.707 0.277 0.707 1
S6 0.707 0.707 0.277 1
S7 0.723 0.293 0.293 1
S8 0.759 0.759 0.759 1

8.
# La2HoSn (GGA-PBE, optimized geometry)
# Formation energy   -0.45 eV/atom
# Density of states at the Fermi level   1.148 states/eV/atom
# Offset from the most stable computed form   0.000 eV per atom
data_La2HoSn
_space_group_name_H-M_alt 'P 1'
_space_group_IT_number 1
_space_group_name_Hall 'P 1'
_cell_length_a 4.894
_cell_length_b 4.894
_cell_length_c 5.081
_cell_angle_alpha 90.00
_cell_angle_beta 90.00
_cell_angle_gamma 90.00
loop_
_atom_site_label
_atom_site_fract_x
_atom_site_fract_y
_atom_site_fract_z
_atom_site_occupancy
La1 0.000 0.500 0.000 1
La2 0.500 0.000 0.000 1
Ho1 0.000 0.000 0.500 1
Sn1 0.500 0.500 0.500 1

9.
# DyEr4Pu (GGA-PBE, optimized geometry)
# Formation energy   0.72 eV/atom
# Density of states at the Fermi level   1.430 states/eV/atom
# Offset from the most stable computed form   0.660 eV per atom
data_DyEr4Pu
_space_group_name_H-M_alt 'P 1'
_space_group_IT_number 1
_space_group_name_Hall 'P 1'
_cell_length_a 8.635
_cell_length_b 8.635
_cell_length_c 8.635
_cell_angle_alpha 98.60
_cell_angle_beta 98.60
_cell_angle_gamma 134.51
loop_
_atom_site_label
_atom_site_fract_x
_atom_site_fract_y
_atom_site_fract_z
_atom_site_occupancy
Dy1 0.000 0.000 0.000 1
Dy2 0.750 0.250 0.500 1
Er1 0.018 0.770 0.247 1
Er2 0.031 0.303 0.272 1
Er3 0.031 0.758 0.728 1
Er4 0.053 0.281 0.772 1
Er5 0.508 0.281 0.228 1
Er6 0.520 0.268 0.747 1
Er7 0.520 0.773 0.253 1
Er8 0.523 0.770 0.753 1
Pu1 0.273 0.773 0.500 1
Pu2 0.523 0.523 0.000 1

10.
# MnBe2Br (GGA-PBE, optimized geometry)
# E_form (uncorrected)   0.72 eV/atom
# Density of states at the Fermi level   0.465 states/eV/atom
# Offset from the most stable computed form   0.530 eV per atom
data_MnBe2Br
_space_group_name_H-M_alt 'P 1'
_space_group_IT_number 1
_space_group_name_Hall 'P 1'
_cell_length_a 4.220
_cell_length_b 4.220
_cell_length_c 2.997
_cell_angle_alpha 90.00
_cell_angle_beta 90.00
_cell_angle_gamma 90.00
loop_
_atom_site_label
_atom_site_fract_x
_atom_site_fract_y
_atom_site_fract_z
_atom_site_occupancy
Mn1 0.000 0.000 0.000 1
Be1 0.000 0.500 0.500 1
Be2 0.500 0.000 0.500 1
Br1 0.500 0.500 0.000 1

11.
# ScTl3V2Te6 (GGA-PBE, optimized geometry)
# E_form (uncorrected)   -0.48 eV/atom
# Density of states at the Fermi level   0.695 states/eV/atom
data_ScTl3V2Te6
_space_group_name_H-M_alt 'P 1'
_space_group_IT_number 1
_space_group_name_Hall 'P 1'
_cell_length_a 7.167
_cell_length_b 7.167
_cell_length_c 8.348
_cell_angle_alpha 98.24
_cell_angle_beta 98.24
_cell_angle_gamma 119.90
loop_
_atom_site_label
_atom_site_fract_x
_atom_site_fract_y
_atom_site_fract_z
_atom_site_occupancy
Sc1 0.000 0.000 0.000 1
Tl1 0.159 0.841 0.500 1
Tl2 0.500 0.500 0.500 1
Tl3 0.841 0.159 0.500 1
V1 0.331 0.669 0.000 1
V2 0.669 0.331 0.000 1
Te1 0.066 0.414 0.197 1
Te2 0.287 0.287 0.810 1
Te3 0.414 0.066 0.197 1
Te4 0.586 0.934 0.803 1
Te5 0.713 0.713 0.190 1
Te6 0.934 0.586 0.803 1

Q: The highest density of states at the Fermi level belongs to which entry?
A: ErPuPd14

Q: Which formula does entry 6 have?
A: Pa2BeSi

Q: The lowest density of states at the Fermi level belongs to which entry?
A: K3Ac3TaS8